# Pr2SmY2Er2, optimized geometry, DFT PBE
data_Pr2SmY2Er2
_chemical_formula_sum 'Pr4 Sm2 Y4 Er4'
_cell_length_a 11.6531
_cell_length_b 3.4842
_cell_length_c 11.9953
_cell_angle_alpha 90.00
_cell_angle_beta 101.79
_cell_angle_gamma 90.00
_space_group_name_H-M_alt 'C 1 2/m 1'
_space_group_IT_number 12
loop_
_space_group_symop_operation_xyz
'x,y,z'
'-x,-y,-z'
'-x,y,-z'
'x,-y,z'
'x+1/2,y+1/2,z'
'-x+1/2,-y+1/2,-z'
'-x+1/2,y+1/2,-z'
'x+1/2,-y+1/2,z'
loop_
_atom_site_label
_atom_site_type_symbol
_atom_site_fract_x
_atom_site_fract_y
_atom_site_fract_z
_atom_site_occupancy
Pr1 Pr 0.2034 0.0000 0.3657 1
Sm1 Sm 0.0000 0.5000 0.5000 1
Y1 Y 0.0913 0.0000 0.7791 1
Er1 Er 0.1567 0.0000 0.0711 1
# * DOS at the Fermi energy: 13.41 states/eV/f.u.
# * volume: 476.8 Å³ per cell
# * electronic total energy: -5.0238 eV per atom